Density functional theory data (PBE) for a geometry-optimized Sr2GePt structure.

For the density of states at the Fermi level, the calculation gives 8.63 states/eV per cell. As for the theoretical density: 5.4 g cm⁻³. For the calculated formation energy, the calculation gives -720 meV per atom.

The structure belongs to space group R3m (No. 160, hexagonal axes); the cell edges are 4.4270, 4.4270 and 24.2171 Å and the angles 90.00°, 90.00° and 120.00°. Symmetry generates all atoms from Sr at (0.0000, 0.0000, 0.0000), Sr at (0.0000, 0.0000, 0.1650), Ge at (0.0000, 0.0000, 0.7494) and Pt at (0.0000, 0.0000, 0.4155).